## ScBeTl2 (PBE)

Data for crystalline ScBeTl2 at its relaxed geometry.

The structure in CIF format:
```
data_ScBeTl2
_space_group_name_H-M_alt 'P 1'
_space_group_IT_number 1
_space_group_name_Hall 'P 1'
_cell_length_a 6.2226
_cell_length_b 6.2226
_cell_length_c 6.2226
_cell_angle_alpha 147.51
_cell_angle_beta 136.30
_cell_angle_gamma 55.50
loop_
_atom_site_label
_atom_site_fract_x
_atom_site_fract_y
_atom_site_fract_z
Tl1 0.5589 0.5589 0.0000
Sc1 0.2500 0.7500 0.5000
Be1 0.7500 0.2500 0.5000
Tl2 0.9411 0.9411 0.0000
```

## Properties
The formation energy from the elements is 101 kJ/mol of formula units. The final energy comes out at -13.7 eV for the cell shown. For the density of states at the Fermi level, the calculation gives 2.3 states/eV/cell.



## ScBeTl2 (PBE)

Data for crystalline ScBeTl2 at its relaxed geometry.

The structure in CIF format:
```
data_ScBeTl2
_space_group_name_H-M_alt 'P 1'
_space_group_IT_number 1
_space_group_name_Hall 'P 1'
_cell_length_a 4.4012
_cell_length_b 4.4016
_cell_length_c 4.2749
_cell_angle_alpha 90.00
_cell_angle_beta 90.00
_cell_angle_gamma 90.00
loop_
_atom_site_label
_atom_site_fract_x
_atom_site_fract_y
_atom_site_fract_z
Sc1 0.0000 0.5000 0.5000
Be1 0.5000 0.0000 0.5000
Tl1 0.0000 0.0000 0.0000
Tl2 0.5000 0.5000 0.0000
```

## Properties
The formation energy from the elements is 66 kJ/mol of formula units. The final energy comes out at -14.1 eV for the cell shown. For the density of states at the Fermi level, the calculation gives 1.6 states/eV/cell.



## ScBe2Tl (PBE)

Data for crystalline ScBe2Tl at its relaxed geometry.

The structure in CIF format:
```
data_ScBe2Tl
_space_group_name_H-M_alt 'P 1'
_space_group_IT_number 1
_space_group_name_Hall 'P 1'
_cell_length_a 4.0846
_cell_length_b 3.2301
_cell_length_c 5.2172
_cell_angle_alpha 90.00
_cell_angle_beta 90.00
_cell_angle_gamma 90.00
loop_
_atom_site_label
_atom_site_fract_x
_atom_site_fract_y
_atom_site_fract_z
Tl1 0.5000 0.7500 0.7500
Sc1 0.5000 0.2500 0.2500
Be1 0.0000 0.7500 0.4543
Be2 0.0000 0.7500 0.0457
```

## Properties
The formation energy from the elements is 81 kJ/mol of formula units. The final energy comes out at -15.3 eV for the cell shown. The value obtained for the energy relative to the lowest polymorph listed for this composition is 0.148 eV per atom. For the density of states at the Fermi level, the calculation gives 2.2 states/eV/cell.



## Sc2Be2Tl (PBE)

Data for crystalline Sc2Be2Tl at its relaxed geometry.

The structure in CIF format:
```
data_Sc2Be2Tl
_space_group_name_H-M_alt 'P 1'
_space_group_IT_number 1
_space_group_name_Hall 'P 1'
_cell_length_a 6.5975
_cell_length_b 6.5975
_cell_length_c 3.9596
_cell_angle_alpha 90.00
_cell_angle_beta 90.00
_cell_angle_gamma 90.00
loop_
_atom_site_label
_atom_site_fract_x
_atom_site_fract_y
_atom_site_fract_z
Sc1 0.6677 0.8323 0.5000
Be1 0.1167 0.3833 0.0000
Sc2 0.3323 0.1677 0.5000
Tl1 0.5000 0.5000 0.0000
Sc3 0.8323 0.3323 0.5000
Be2 0.3833 0.8833 0.0000
Tl2 0.0000 0.0000 0.0000
Sc4 0.1677 0.6677 0.5000
Be3 0.8833 0.6167 0.0000
Be4 0.6167 0.1167 0.0000
```

## Properties
The formation energy from the elements is -65 kJ/mol of formula units. The final energy comes out at -46.3 eV for the cell shown. For the density of states at the Fermi level, the calculation gives 7.0 states/eV/cell.



## ScBe2Tl (PBE)

Data for crystalline ScBe2Tl at its relaxed geometry.

The structure in CIF format:
```
data_ScBe2Tl
_space_group_name_H-M_alt 'P 1'
_space_group_IT_number 1
_space_group_name_Hall 'P 1'
_cell_length_a 3.7986
_cell_length_b 3.7986
_cell_length_c 5.8309
_cell_angle_alpha 71.01
_cell_angle_beta 71.01
_cell_angle_gamma 59.99
loop_
_atom_site_label
_atom_site_fract_x
_atom_site_fract_y
_atom_site_fract_z
Be1 0.0424 0.0424 0.8743
Tl1 0.2761 0.2761 0.1735
Be2 0.7076 0.7076 0.8762
Sc1 0.4739 0.4739 0.5760
```

## Properties
The formation energy from the elements is 24 kJ/mol of formula units. The final energy comes out at -15.9 eV for the cell shown. The value obtained for the energy relative to the lowest polymorph listed for this composition is 0.000 eV per atom. For the density of states at the Fermi level, the calculation gives 2.1 states/eV/cell.



## Sc2BeTl2 (PBE)

Data for crystalline Sc2BeTl2 at its relaxed geometry.

The structure in CIF format:
```
data_Sc2BeTl2
_space_group_name_H-M_alt 'P 1'
_space_group_IT_number 1
_space_group_name_Hall 'P 1'
_cell_length_a 6.8562
_cell_length_b 6.8562
_cell_length_c 4.5981
_cell_angle_alpha 90.00
_cell_angle_beta 90.00
_cell_angle_gamma 90.00
loop_
_atom_site_label
_atom_site_fract_x
_atom_site_fract_y
_atom_site_fract_z
Tl1 0.1524 0.3476 0.0000
Tl2 0.8476 0.6524 0.0000
Tl3 0.3476 0.8476 0.0000
Sc1 0.3361 0.1639 0.5000
Sc2 0.6639 0.8361 0.5000
Be1 0.5000 0.5000 0.0000
Tl4 0.6524 0.1524 0.0000
Be2 0.0000 0.0000 0.0000
Sc3 0.1639 0.6639 0.5000
Sc4 0.8361 0.3361 0.5000
```

## Properties
The formation energy from the elements is 6 kJ/mol of formula units. The final energy comes out at -42.1 eV for the cell shown. The value obtained for the energy relative to the lowest polymorph listed for this composition is 0.000 eV per atom. For the density of states at the Fermi level, the calculation gives 3.2 states/eV/cell.